Density functional theory data (PBE) for a geometry-optimized BeTlMo structure.

a = 5.540 Å, b = 5.540 Å, c = 5.540 Å
α = 147.07°, β = 147.07°, γ = 47.26°
Positions (direct):
Be (0.963, 0.963, 0.000)
Tl (0.665, 0.665, 0.000)
Mo (0.371, 0.371, 0.000)

Output
Formation energy (meV/atom): 647.5
E above lowest polymorph (meV per atom): 0

Density functional theory data (PBE) for a geometry-optimized Nd5Cd2In2 structure.

a = 9.559 Å, b = 6.505 Å, c = 10.648 Å
α = 107.79°, β = 116.67°, γ = 90.00°
Positions (direct):
Nd (0.203, 0.642, 0.836)
Nd (0.797, 0.806, 0.164)
Nd (0.133, 0.142, 0.836)
Nd (0.867, 0.306, 0.164)
Nd (0.290, 0.155, 0.304)
Nd (0.710, 0.851, 0.696)
Nd (0.515, 0.655, 0.304)
Nd (0.485, 0.351, 0.696)
Nd (0.255, 0.758, 0.500)
Nd (0.745, 0.258, 0.500)
Cd (0.000, 0.899, 0.000)
Cd (0.500, 0.399, 0.000)
Cd (0.090, 0.232, 0.500)
Cd (0.910, 0.732, 0.500)
In (0.145, 0.568, 0.143)
In (0.855, 0.425, 0.857)
In (0.498, 0.068, 0.143)
In (0.502, 0.925, 0.857)

Output
Formation energy (meV/atom): -238.7

Density functional theory data (PBE) for a geometry-optimized Tm7Mg2Co2 structure.

a = 3.499 Å, b = 9.846 Å, c = 9.846 Å
α = 57.85°, β = 79.76°, γ = 79.76°
Positions (direct):
Tm (0.819, 0.083, 0.279)
Tm (0.849, 0.406, 0.896)
Tm (0.500, 0.030, 0.970)
Tm (0.650, 0.439, 0.261)
Tm (0.350, 0.739, 0.561)
Tm (0.181, 0.721, 0.917)
Tm (0.151, 0.104, 0.594)
Mg (0.000, 0.734, 0.266)
Mg (0.500, 0.384, 0.616)
Co (0.736, 0.872, 0.657)
Co (0.264, 0.343, 0.128)

Output
Formation energy (meV/atom): -110.4

Density functional theory data (PBE) for a geometry-optimized Ac2HoIn12Ni3 structure.

a = 8.663 Å, b = 8.663 Å, c = 8.663 Å
α = 65.15°, β = 65.15°, γ = 65.15°
Positions (direct):
Ac (0.585, 0.585, 0.585)
Ac (0.415, 0.415, 0.415)
Ho (0.000, 0.000, 0.000)
In (0.275, 0.275, 0.888)
In (0.843, 0.843, 0.446)
In (0.446, 0.843, 0.843)
In (0.888, 0.275, 0.275)
In (0.843, 0.446, 0.843)
In (0.275, 0.888, 0.275)
In (0.725, 0.725, 0.112)
In (0.157, 0.157, 0.554)
In (0.554, 0.157, 0.157)
In (0.112, 0.725, 0.725)
In (0.157, 0.554, 0.157)
In (0.725, 0.112, 0.725)
Ni (0.500, 0.000, 0.000)
Ni (0.000, 0.500, 0.000)
Ni (0.000, 0.000, 0.500)

Output
Formation energy (meV/atom): -28.0

Density functional theory data (PBE) for a geometry-optimized RbSr2In2 structure.

a = 9.636 Å, b = 9.636 Å, c = 4.382 Å
α = 90.00°, β = 90.00°, γ = 90.00°
Positions (direct):
Sr (0.172, 0.672, 0.500)
Sr (0.672, 0.828, 0.500)
Sr (0.828, 0.328, 0.500)
Sr (0.328, 0.172, 0.500)
Rb (0.000, 0.000, 0.000)
Rb (0.500, 0.500, 0.000)
In (0.385, 0.885, 0.000)
In (0.885, 0.615, 0.000)
In (0.615, 0.115, 0.000)
In (0.115, 0.385, 0.000)

Output
Formation energy (meV/atom): -212.0
E above lowest polymorph (meV per atom): 0

Density functional theory data (PBE) for a geometry-optimized ZnTcNi2 structure.

a = 5.079 Å, b = 5.079 Å, c = 5.079 Å
α = 149.96°, β = 129.06°, γ = 60.28°
Site moments in Bohr magnetons follow the coordinates.
Positions (direct):
Ni (0.007, 0.007, 0.000)  0.20
Ni (0.243, 0.743, 0.500)  0.20
Tc (0.488, 0.488, 0.000)  0.42
Zn (0.761, 0.261, 0.500)  0.00

Output
Formation energy (meV/atom): 68.1

Density functional theory data (PBE) for a geometry-optimized TmHfAgRh structure.

a = 4.815 Å, b = 4.815 Å, c = 4.815 Å
α = 60.00°, β = 60.00°, γ = 60.00°
Positions (direct):
Rh (0.250, 0.250, 0.250)
Tm (0.000, 0.000, 0.000)
Hf (0.500, 0.500, 0.500)
Ag (0.750, 0.750, 0.750)

Output
Formation energy (meV/atom): -455.8

Density functional theory data (PBE) for a geometry-optimized PmDy6Ho3 structure.

a = 9.788 Å, b = 9.788 Å, c = 6.867 Å
α = 44.54°, β = 44.54°, γ = 60.00°
Positions (direct):
Pm (0.899, 0.899, 0.302)
Dy (0.903, 0.569, 0.296)
Dy (0.233, 0.903, 0.296)
Dy (0.569, 0.233, 0.296)
Dy (0.070, 0.403, 0.796)
Dy (0.731, 0.070, 0.796)
Dy (0.403, 0.731, 0.796)
Ho (0.399, 0.399, 0.804)
Ho (0.645, 0.645, 0.066)
Ho (0.150, 0.150, 0.551)

Output
Formation energy (meV/atom): 274.8
E above lowest polymorph (meV per atom): 125

Density functional theory data (PBE) for a geometry-optimized Nd2UPb structure.

a = 3.319 Å, b = 3.319 Å, c = 12.492 Å
α = 82.37°, β = 82.37°, γ = 60.00°
Site moments in Bohr magnetons follow the coordinates.
Positions (direct):
Pb (0.500, 0.500, 0.500)  0.00
Nd (0.089, 0.089, 0.733)  -0.06
Nd (0.911, 0.911, 0.267)  -0.06
U (0.000, 0.000, 0.000)  2.08

Output
Formation energy (meV/atom): 352.5

Density functional theory data (PBE) for a geometry-optimized GaCoCuPt structure.

a = 4.198 Å, b = 4.198 Å, c = 4.198 Å
α = 60.00°, β = 60.00°, γ = 60.00°
Site moments in Bohr magnetons follow the coordinates.
Positions (direct):
Cu (0.500, 0.500, 0.500)  -0.01
Co (0.250, 0.250, 0.250)  0.19
Ga (0.000, 0.000, 0.000)  -0.01
Pt (0.750, 0.750, 0.750)  0.00

Output
Formation energy (meV/atom): -246.4

Density functional theory data (PBE) for a geometry-optimized Sr2Li12GaAg3 structure.

a = 7.333 Å, b = 7.333 Å, c = 7.333 Å
α = 85.42°, β = 85.42°, γ = 85.42°
Positions (direct):
Sr (0.754, 0.754, 0.754)
Sr (0.246, 0.246, 0.246)
Li (0.422, 0.422, 0.845)
Li (0.814, 0.814, 0.262)
Li (0.262, 0.814, 0.814)
Li (0.845, 0.422, 0.422)
Li (0.814, 0.262, 0.814)
Li (0.422, 0.845, 0.422)
Li (0.578, 0.578, 0.155)
Li (0.186, 0.186, 0.738)
Li (0.738, 0.186, 0.186)
Li (0.155, 0.578, 0.578)
Li (0.186, 0.738, 0.186)
Li (0.578, 0.155, 0.578)
Ga (0.000, 0.000, 0.000)
Ag (0.500, 0.000, 0.000)
Ag (0.000, 0.500, 0.000)
Ag (0.000, 0.000, 0.500)

Output
Formation energy (meV/atom): -46.1

Density functional theory data (PBE) for a geometry-optimized Tc2RuSe5 structure.

a = 5.680 Å, b = 7.011 Å, c = 6.840 Å
α = 59.17°, β = 67.93°, γ = 90.00°
Positions (direct):
Tc (0.518, 0.988, 0.024)
Tc (0.913, 0.371, 0.258)
Ru (0.011, 0.991, 0.017)
Se (0.647, 0.627, 0.318)
Se (0.647, 0.054, 0.318)
Se (0.284, 0.735, 0.982)
Se (0.284, 0.283, 0.982)
Se (0.919, 0.174, 0.652)

Output
ΔE_f (raw) (eV/atom): 0.030

Result set for size of the total moment: 0.0; 0.0; 0.0; 0.0; 0.0; 0.8; 0.0; 0.0; 2.1; 0.2; 0.0; 0.0 μB/f.u., one per record in the order listed.
Result set for raw total energy: -4.9937; -3.6994; -4.5378; -3.5280; -2.1736; -5.7326; -6.6127; -4.3349; -5.7806; -5.3139; -2.1522; -5.8989 eV per atom, one per record in the order listed.